# Sm2YPaAs4

A geometry-optimized Sm2YPaAs4 structure (PBE, Alexandria).

Its total energy is -6.92 eV per atom. The value obtained for the total magnetization is 0.00 Bohr magnetons per cell.

The space group is P2/m (No. 10) and the conventional cell measures 7.178, 4.162 and 7.208 Å, with angles of 90.00, 109.44 and 90.00 degrees. The distinct sites, in fractional coordinates, are Sm at (0.000, 0.000, 0.000), Sm at (0.500, 0.500, 0.000), Y at (0.000, 0.500, 0.500), Pa at (0.500, 0.000, 0.500), As at (0.251, 0.000, 0.741) and As at (0.255, 0.500, 0.259).

# PmHoMg2

A geometry-optimized PmHoMg2 structure (PBE, Alexandria).

Its total energy is -3.09 eV per atom. The value obtained for the total magnetization is 0.00 Bohr magnetons per cell.

The space group is R-3m (No. 166, hexagonal axes) and the conventional cell measures 3.4934, 3.4934 and 32.8043 Å, with angles of 90.00, 90.00 and 120.00 degrees. The distinct sites, in fractional coordinates, are Pm at (0.0000, 0.0000, 0.0000), Ho at (0.0000, 0.0000, 0.5000) and Mg at (0.0000, 0.0000, 0.2483).

# LaNb3S

A geometry-optimized LaNb3S structure (PBE, Alexandria).

The value obtained for the total magnetization is 0.00 Bohr magnetons per cell. As for the uncorrected formation energy: 1998 meV per atom.

The space group is Pm-3m (No. 221) and the conventional cell measures 4.921, 4.921 and 4.921 Å, with angles of 90.00, 90.00 and 90.00 degrees. The distinct sites, in fractional coordinates, are La at (0.000, 0.000, 0.000), Nb at (0.000, 0.000, 0.500) and S at (0.500, 0.500, 0.500).